A plane-wave DFT calculation with GGA-PBEsol was carried out for a relaxed structure of CoCu2Br.

Computed properties:
- uncorrected energy (eV/cell) = -16.4
- space-group type = Imm2
- ΔE_f (raw) (eV per atom) = 0.457
- excess energy over the best structure of this formula in the dataset (eV per atom) = 0.000

a = 2.830 Å, b = 3.781 Å, c = 6.157 Å
α = 107.88°, β = 103.29°, γ = 90.00°
Fractional coordinates of all 4 atoms:
Co (0.233, 0.733, 0.467)
Br (0.565, 0.565, 0.130)
Cu (0.914, 0.914, 0.829)
Cu (0.787, 0.287, 0.574)